Record 1
Compound: YCd2Pd
Source: the Alexandria database
Functional: GGA-PBE
Structure: optimized geometry

Geometry as POSCAR:
```
YCd2Pd
1.0
-2.0792 2.0792 10.8304
2.0792 -2.0792 10.8304
2.0792 2.0792 -10.8304
Y Cd Pd
2 4 2
Direct
0.0000 0.0000 0.0000 Y
0.7500 0.2500 0.5000 Y
0.1456 0.6250 0.0206 Cd
0.3750 0.3956 0.5206 Cd
0.6044 0.1250 0.9794 Cd
0.8750 0.8544 0.4794 Cd
0.2500 0.7500 0.5000 Pd
0.5000 0.5000 0.0000 Pd
```

Output
E_form: -1.0 eV per formula unit



Record 2
Compound: Sc2CrB
Source: the Alexandria database
Functional: GGA-PBE
Structure: optimized geometry

Geometry as POSCAR:
```
Sc2CrB
1.0
-4.3581 4.3581 2.0126
4.3581 -4.3581 2.0126
4.3581 4.3581 -2.0126
Sc Cr B
4 2 2
Direct
0.3750 0.0286 0.1536 Sc
0.7786 0.6250 0.6536 Sc
0.8750 0.2214 0.8464 Sc
0.9714 0.1250 0.3464 Sc
0.2500 0.7500 0.5000 Cr
0.5000 0.5000 0.0000 Cr
0.0000 0.0000 0.0000 B
0.7500 0.2500 0.5000 B
```

Output
E_form: 1.0 eV per formula unit



Record 3
Compound: AcTb3Sm2
Source: the Alexandria database
Functional: GGA-PBE
Structure: optimized geometry

Geometry as POSCAR:
```
AcTb3Sm2
1.0
-1.7544 3.0966 9.8377
1.7544 -3.0966 9.8377
1.7544 3.0966 -9.8377
Ac Tb Sm
1 3 2
Direct
0.0000 0.0000 0.0000 Ac
0.1923 0.1923 0.0000 Tb
0.5000 0.0000 0.5000 Tb
0.8077 0.8077 0.0000 Tb
0.3592 0.3592 0.0000 Sm
0.6408 0.6408 0.0000 Sm
```

Output
E_form: 2.3 eV per formula unit



Record 4
Compound: Tb2PmDyS4
Source: the Alexandria database
Functional: GGA-PBE
Structure: optimized geometry

Geometry as POSCAR:
```
Tb2PmDyS4
1.0
6.8485 0.0000 0.0000
0.0000 3.9124 0.0000
-2.2420 0.0000 6.5000
Tb Pm Dy S
2 1 1 4
Direct
0.0000 0.0000 0.0000 Tb
0.0000 0.5000 0.5000 Tb
0.5000 0.0000 0.5000 Pm
0.5000 0.5000 0.0000 Dy
0.2441 0.5000 0.2425 S
0.2483 0.0000 0.7548 S
0.7517 0.0000 0.2452 S
0.7559 0.5000 0.7575 S
```

Output
Raw formation energy: -16.1 eV/f.u.



Record 5
Compound: RbNaP2Cl
Source: the Alexandria database
Functional: GGA-PBE
Structure: optimized geometry

Geometry as POSCAR:
```
RbNaP2Cl
1.0
5.1946 0.0000 0.0000
0.0000 5.1946 0.0000
0.0000 0.0000 5.7654
Rb Na P Cl
1 1 2 1
Direct
0.0000 0.0000 0.0000 Rb
0.5000 0.5000 0.5000 Na
0.0000 0.5000 0.5000 P
0.5000 0.0000 0.5000 P
0.5000 0.5000 0.0000 Cl
```

Output
Raw formation energy: 1.2 eV/f.u.



Record 6
Compound: Ce2Zn2Ni5
Source: the Alexandria database
Functional: GGA-PBE
Structure: optimized geometry

Geometry as POSCAR:
```
Ce2Zn2Ni5
1.0
2.5229 1.4566 12.4460
-2.5229 1.4566 12.4460
0.0000 -2.9132 12.4460
Ce Zn Ni
4 4 10
Direct
0.0570 0.0570 0.0570 Ce
0.1457 0.1457 0.1457 Ce
0.8543 0.8543 0.8543 Ce
0.9430 0.9430 0.9430 Ce
0.0000 0.5000 0.5000 Zn
0.5000 0.0000 0.5000 Zn
0.5000 0.5000 0.0000 Zn
0.5000 0.5000 0.5000 Zn
0.1090 0.6110 0.6110 Ni
0.2769 0.2769 0.2769 Ni
0.3895 0.3895 0.3895 Ni
0.3890 0.3890 0.8910 Ni
0.3890 0.8910 0.3890 Ni
0.6110 0.1090 0.6110 Ni
0.6110 0.6110 0.1090 Ni
0.6105 0.6105 0.6105 Ni
0.7231 0.7231 0.7231 Ni
0.8910 0.3890 0.3890 Ni
```

Output
E_form: -3.2 eV per formula unit



Record 7
Compound: Ho7Ge2Ir2
Source: the Alexandria database
Functional: GGA-PBE
Structure: optimized geometry

Geometry as POSCAR:
```
Ho7Ge2Ir2
1.0
4.3313 -5.1132 0.0000
4.3313 5.1132 0.0000
0.0000 0.0000 6.9246
Ho Ge Ir
7 2 2
Direct
0.0000 0.0000 0.0000 Ho
0.0000 0.5000 0.2508 Ho
0.0000 0.5000 0.7492 Ho
0.5000 0.0000 0.2508 Ho
0.5000 0.0000 0.7492 Ho
0.5000 0.5000 0.2422 Ho
0.5000 0.5000 0.7578 Ho
0.2256 0.2256 0.5000 Ge
0.7744 0.7744 0.5000 Ge
0.2777 0.7223 0.0000 Ir
0.7223 0.2777 0.0000 Ir
```

Output
E_form: -5.9 eV per formula unit



Record 8
Compound: Ta3Fe
Source: the Alexandria database
Functional: GGA-PBE
Structure: optimized geometry

Geometry as POSCAR:
```
Ta3Fe
1.0
3.1703 0.0000 0.0000
0.0000 3.1703 0.0000
0.0000 0.0000 6.5149
Ta Fe
3 1
Direct
0.0000 0.0000 0.0000 Ta
0.5000 0.5000 0.2677 Ta
0.5000 0.5000 0.7323 Ta
0.0000 0.0000 0.5000 Fe
```

Output
E_form: -0.3 eV per formula unit



Record 9
Compound: Nd5HPb4
Source: the Alexandria database
Functional: GGA-PBE
Structure: optimized geometry

Geometry as POSCAR:
```
Nd5HPb4
1.0
-4.9774 4.9774 3.2171
4.9774 -4.9774 3.2171
4.9774 4.9774 -3.2171
Nd H Pb
5 1 4
Direct
0.0000 0.0000 0.0000 Nd
0.1604 0.3476 0.6175 Nd
0.3476 0.7301 0.1872 Nd
0.5429 0.1604 0.8128 Nd
0.7301 0.5429 0.3825 Nd
0.3779 0.3779 0.0000 H
0.0348 0.6412 0.7908 Pb
0.2440 0.0348 0.3936 Pb
0.6412 0.8504 0.6064 Pb
0.8504 0.2440 0.2092 Pb
```



Record 10
Compound: MgFe2Bi
Source: the Alexandria database
Functional: GGA-PBE
Structure: optimized geometry

Geometry as POSCAR:
```
MgFe2Bi
1.0
-3.7020 3.7020 2.8130
3.7020 -3.7020 2.8130
3.7020 3.7020 -2.8130
Mg Fe Bi
2 4 2
Direct
0.0000 0.0000 0.0000 Mg
0.7500 0.2500 0.5000 Mg
0.1238 0.6250 0.9988 Fe
0.3750 0.3738 0.4988 Fe
0.6262 0.1250 0.0012 Fe
0.8750 0.8762 0.5012 Fe
0.2500 0.7500 0.5000 Bi
0.5000 0.5000 0.0000 Bi
```

Output
E_form: 2.9 eV per formula unit



Record 11
Compound: Rb2CeF4
Source: the Alexandria database
Functional: GGA-PBE
Structure: optimized geometry

Geometry as POSCAR:
```
Rb2CeF4
1.0
-2.4026 2.4026 7.7715
2.4026 -2.4026 7.7715
2.4026 2.4026 -7.7715
Rb Ce F
2 1 4
Direct
0.1671 0.1671 0.0000 Rb
0.8329 0.8329 0.0000 Rb
0.5000 0.5000 0.0000 Ce
0.0000 0.5000 0.5000 F
0.3514 0.3514 0.0000 F
0.5000 0.0000 0.5000 F
0.6486 0.6486 0.0000 F
```

Output
Raw formation energy: -20.7 eV/f.u.



Record 12
Compound: ZrBi2O2
Source: the Alexandria database
Functional: GGA-PBE
Structure: optimized geometry

Geometry as POSCAR:
```
ZrBi2O2
1.0
4.7385 0.0000 0.0000
0.0000 4.7385 0.0000
0.0000 0.0000 4.2726
Zr Bi O
1 2 2
Direct
0.0000 0.0000 0.0000 Zr
0.0000 0.5000 0.5000 Bi
0.5000 0.0000 0.5000 Bi
0.5000 0.5000 0.0000 O
0.5000 0.5000 0.5000 O
```

Output
Raw formation energy: 0.1 eV/f.u.



Record 13
Compound: In2AgMo
Source: the Alexandria database
Functional: GGA-PBE
Structure: optimized geometry

Geometry as POSCAR:
```
In2AgMo
1.0
3.1067 -4.0920 0.0000
3.1067 4.0920 0.0000
0.0000 0.0000 3.0068
In Ag Mo
2 1 1
Direct
0.0000 0.5000 0.0000 In
0.5000 0.0000 0.0000 In
0.0000 0.0000 0.5000 Ag
0.5000 0.5000 0.5000 Mo
```

Output
E_form: 1.0 eV per formula unit



Record 14
Compound: Zr2FeNi
Source: the Alexandria database
Functional: GGA-PBE
Structure: optimized geometry

Geometry as POSCAR:
```
Zr2FeNi
1.0
1.6407 0.9473 7.4494
-1.6407 0.9473 7.4494
0.0000 -1.8945 7.4494
Zr Fe Ni
2 1 1
Direct
0.2483 0.2483 0.2483 Zr
0.7517 0.7517 0.7517 Zr
0.5000 0.5000 0.5000 Fe
0.0000 0.0000 0.0000 Ni
```

Output
E_form: 0.2 eV per formula unit



Record 15
Compound: K2Br2N
Source: the Alexandria database
Functional: GGA-PBE
Structure: optimized geometry

Geometry as POSCAR:
```
K2Br2N
1.0
-3.2138 3.2138 6.1865
3.2138 -3.2138 6.1865
3.2138 3.2138 -6.1865
K Br N
2 2 1
Direct
0.2310 0.2310 0.0000 K
0.7690 0.7690 0.0000 K
0.2500 0.7500 0.5000 Br
0.7500 0.2500 0.5000 Br
0.5000 0.5000 0.0000 N
```

Output
Raw formation energy: -1.3 eV/f.u.



Record 16
Compound: Li2MgCdN
Source: the Alexandria database
Functional: GGA-PBE
Structure: optimized geometry

Geometry as POSCAR:
```
Li2MgCdN
1.0
4.2903 0.0000 0.0000
0.0000 4.2903 0.0000
0.0000 0.0000 4.1314
Li Mg Cd N
2 1 1 1
Direct
0.0000 0.5000 0.0000 Li
0.5000 0.0000 0.0000 Li
0.0000 0.0000 0.5000 Mg
0.5000 0.5000 0.5000 Cd
0.0000 0.0000 0.0000 N
```

Output
Raw formation energy: -1.2 eV/f.u.



Record 17
Compound: Cs3InSb
Source: the Alexandria database
Functional: GGA-PBE
Structure: optimized geometry

Geometry as POSCAR:
```
Cs3InSb
1.0
-6.1273 4.9524 5.3067
6.1273 -4.9524 5.3067
6.1273 4.9524 -5.3067
Cs In Sb
6 2 2
Direct
0.2087 0.5365 0.1721 Cs
0.2258 0.0338 0.2596 Cs
0.2258 0.4662 0.6920 Cs
0.3644 0.0365 0.8279 Cs
0.7742 0.5338 0.3080 Cs
0.7742 0.9662 0.7404 Cs
0.6650 0.9205 0.2446 In
0.6759 0.4205 0.7554 In
0.8712 0.1764 0.1948 Sb
0.9816 0.6764 0.8052 Sb
```

Output
Raw formation energy: -1.0 eV/f.u.



Record 18
Compound: BaTlGa2Pd
Source: the Alexandria database
Functional: GGA-PBE
Structure: optimized geometry

Geometry as POSCAR:
```
BaTlGa2Pd
1.0
5.0101 0.0000 0.0000
0.0000 5.0101 0.0000
0.0000 0.0000 5.4190
Ba Tl Ga Pd
1 1 2 1
Direct
0.0000 0.0000 0.0000 Ba
0.5000 0.5000 0.0000 Tl
0.0000 0.5000 0.5000 Ga
0.5000 0.0000 0.5000 Ga
0.5000 0.5000 0.5000 Pd
```

Output
E_form: -1.4 eV per formula unit



Record 19
Compound: LaSiAu
Source: the Alexandria database
Functional: GGA-PBE
Structure: optimized geometry

Geometry as POSCAR:
```
LaSiAu
1.0
6.0308 0.0000 0.0000
0.0000 2.1445 5.2986
0.0000 -2.1445 5.2986
La Si Au
2 2 2
Direct
0.0000 0.0000 0.0000 La
0.5000 0.3862 0.3862 La
0.2497 0.6931 0.6931 Si
0.7503 0.6931 0.6931 Si
0.0000 0.2892 0.2892 Au
0.5000 0.0970 0.0970 Au
```

Output
Raw formation energy: -1.8 eV/f.u.



Record 20
Compound: CsFe2PS
Source: the Alexandria database
Functional: GGA-PBE
Structure: optimized geometry

Geometry as POSCAR:
```
CsFe2PS
1.0
4.9055 0.0000 0.0000
0.0000 4.9055 0.0000
0.0000 0.0000 5.5341
Cs Fe P S
1 2 1 1
Direct
0.0000 0.0000 0.0000 Cs
0.0000 0.5000 0.0000 Fe
0.5000 0.0000 0.0000 Fe
0.0000 0.0000 0.5000 P
0.5000 0.5000 0.5000 S
```

Output
Raw formation energy: 12.8 eV/f.u.



Record 21
Compound: InAsPCl2
Source: the Alexandria database
Functional: GGA-PBE
Structure: optimized geometry

Geometry as POSCAR:
```
InAsPCl2
1.0
4.5988 0.0000 0.0000
0.0000 4.5988 0.0000
0.0000 0.0000 5.7972
In As P Cl
1 1 1 2
Direct
0.0000 0.0000 0.0000 In
0.5000 0.5000 0.0000 As
0.0000 0.0000 0.5000 P
0.0000 0.5000 0.5000 Cl
0.5000 0.0000 0.5000 Cl
```

Output
Raw formation energy: 1.2 eV/f.u.



Record 22
Compound: PmGa2PRu2
Source: the Alexandria database
Functional: GGA-PBE
Structure: optimized geometry

Geometry as POSCAR:
```
PmGa2PRu2
1.0
4.4205 0.0000 0.0000
0.0000 4.4205 0.0000
0.0000 0.0000 5.6426
Pm Ga P Ru
1 2 1 2
Direct
0.0000 0.0000 0.0000 Pm
0.5000 0.5000 0.2246 Ga
0.5000 0.5000 0.7754 Ga
0.0000 0.0000 0.5000 P
0.0000 0.5000 0.5000 Ru
0.5000 0.0000 0.5000 Ru
```

Output
E_form: -3.0 eV per formula unit



Record 23
Compound: MgI2O6
Source: the Alexandria database
Functional: GGA-PBE
Structure: optimized geometry

Geometry as POSCAR:
```
MgI2O6
1.0
14.6245 0.0000 0.0000
0.0000 6.9891 0.0000
0.0000 0.0000 5.2852
Mg I O
4 8 24
Direct
0.0000 0.1304 0.2500 Mg
0.0000 0.8696 0.7500 Mg
0.5000 0.3696 0.7500 Mg
0.5000 0.6304 0.2500 Mg
0.1487 0.2830 0.7427 I
0.1487 0.7170 0.2427 I
0.3513 0.2170 0.2427 I
0.3513 0.7830 0.7427 I
0.6487 0.2170 0.2573 I
0.6487 0.7830 0.7573 I
0.8513 0.2830 0.7573 I
0.8513 0.7170 0.2573 I
0.0787 0.1008 0.9131 O
0.0787 0.8992 0.4131 O
0.0799 0.3213 0.4546 O
0.0799 0.6787 0.9546 O
0.2407 0.1342 0.6238 O
0.2407 0.8658 0.1238 O
0.2593 0.3658 0.1238 O
0.2593 0.6342 0.6238 O
0.4201 0.1787 0.9546 O
0.4201 0.8213 0.4546 O
0.4213 0.3992 0.4131 O
0.4213 0.6008 0.9131 O
0.5787 0.3992 0.0869 O
0.5787 0.6008 0.5869 O
0.5799 0.1787 0.5454 O
0.5799 0.8213 0.0454 O
0.7407 0.3658 0.3762 O
0.7407 0.6342 0.8762 O
0.7593 0.1342 0.8762 O
0.7593 0.8658 0.3762 O
0.9201 0.3213 0.0454 O
0.9201 0.6787 0.5454 O
0.9213 0.1008 0.5869 O
0.9213 0.8992 0.0869 O
```

Output
Raw formation energy: -7.9 eV/f.u.



Record 24
Compound: ZrCdCl2
Source: the Alexandria database
Functional: GGA-PBE
Structure: optimized geometry

Geometry as POSCAR:
```
ZrCdCl2
1.0
5.8796 -1.6164 0.0000
5.8796 1.6164 0.0000
-3.0929 0.0000 5.9866
Zr Cd Cl
1 1 2
Direct
0.0000 0.0000 0.0000 Zr
0.2671 0.2671 0.0010 Cd
0.4455 0.4455 0.6733 Cl
0.6164 0.6164 0.3272 Cl
```

Output
Raw formation energy: -3.7 eV/f.u.



Record 25
Compound: MnZnAs2
Source: the Alexandria database
Functional: GGA-PBE
Structure: optimized geometry

Geometry as POSCAR:
```
MnZnAs2
1.0
1.8451 -2.1154 0.0000
1.8451 2.1154 0.0000
0.0000 0.0000 9.1667
Mn Zn As
1 1 2
Direct
0.0000 0.0000 0.0000 Mn
0.5000 0.5000 0.2051 Zn
0.0000 0.0000 0.4258 As
0.5000 0.5000 0.8074 As
```

Output
E_form: 0.4 eV per formula unit



| no. | final energy (hartree per atom) |
| --- | --- |
| 1 | -0.1334 |
| 2 | -0.2572 |
| 3 | -0.1539 |
| 4 | -0.2351 |
| 5 | -0.1011 |
| 6 | -0.1900 |
| 7 | -0.2168 |
| 8 | -0.4070 |
| 9 | -0.1674 |
| 10 | -0.1795 |
| 11 | -0.1893 |
| 12 | -0.1920 |
| 13 | -0.1668 |
| 14 | -0.2865 |
| 15 | -0.1112 |
| 16 | -0.1168 |
| 17 | -0.0764 |
| 18 | -0.1247 |
| 19 | -0.1888 |
| 20 | -0.1070 |
| 21 | -0.1127 |
| 22 | -0.2311 |
| 23 | -0.1729 |
| 24 | -0.1548 |
| 25 | -0.1773 |